First-principles (GGA-PBE) data for a geometry-optimized SrCe2NdN4 structure, as listed in Alexandria via LeMat-Bulk.

- Formation energy (no corrections): -1300 meV per atom
- Space-group type: Imma
- Spin magnetization: 0.9 Bohr magnetons per cell

```
data_SrCe2NdN4
_symmetry_space_group_name_H-M 'P 1'
_symmetry_Int_Tables_number 1
_symmetry_space_group_name_Hall 'P 1'
_cell_length_a 7.2624
_cell_length_b 7.2624
_cell_length_c 7.2624
_cell_angle_alpha 120.06
_cell_angle_beta 119.89
_cell_angle_gamma 90.04
loop_
_atom_site_label
_atom_site_type_symbol
_atom_site_fract_x
_atom_site_fract_y
_atom_site_fract_z
Sr1 Sr 0.5000 0.0000 0.0000
Sr2 Sr 0.5000 0.5000 0.5000
Ce1 Ce 0.0000 0.0000 0.0000
Ce2 Ce 0.0000 0.0000 0.5000
Ce3 Ce 0.0000 0.5000 0.0000
Ce4 Ce 0.5000 0.0000 0.5000
Nd1 Nd 0.0000 0.5000 0.5000
Nd2 Nd 0.5000 0.5000 0.0000
N1 N 0.2158 0.2430 0.9728
N2 N 0.2298 0.7570 0.4728
N3 N 0.2389 0.2288 0.4899
N4 N 0.2389 0.7489 0.0101
N5 N 0.7611 0.2511 0.9899
N6 N 0.7611 0.7712 0.5101
N7 N 0.7702 0.2430 0.5272
N8 N 0.7842 0.7570 0.0272
```